{
  "formula": "Na3Y3MnS8",
  "functional": "PBE",
  "state": "relaxed",
  "e_form_raw_ev_per_atom": -1.528,
  "lattice_angstrom": [[-0.700, 5.297, -5.625], [-4.187, -6.525, -0.274], [-1.916, 5.611, 5.522]],
  "species": ["Y", "S", "S", "S", "Na", "S", "S", "Na", "S", "S", "S", "Y", "Na", "Y", "Mn"],
  "fractional_positions": [[0.000, 0.500, 0.500], [0.782, 0.010, 0.293], [0.743, 0.486, 0.729], [0.772, 0.990, 0.707], [0.500, 0.500, 0.000], [0.228, 0.010, 0.293], [0.218, 0.990, 0.707], [0.000, 0.500, 0.000], [0.218, 0.436, 0.708], [0.257, 0.514, 0.271], [0.782, 0.564, 0.292], [0.500, 0.500, 0.500], [0.000, 0.000, 0.000], [0.500, 0.000, 0.500], [0.000, 0.000, 0.500]]
}